CdOsBr6 | PBE-GGA | optimized geometry

Results
Total energy in eV per atom: -3.1201
Energy relative to the elements, uncorrected in meV/atom: -347

POSCAR file:
```
CdOsBr6
1.0
6.8651 -0.1116 -1.2848
-3.6995 5.7841 -1.2848
-0.0317 -0.0568 6.9526
Br Os Cd
6 1 1
direct
0.5860 0.8769 0.7344 Br
0.4140 0.1231 0.2656 Br
0.2864 0.2864 0.7102 Br
0.1231 0.4140 0.2656 Br
0.7136 0.7136 0.2898 Br
0.8769 0.5860 0.7344 Br
0.5000 0.5000 0.5000 Os
0.0000 0.0000 0.0000 Cd
```



Cd2OsBr | PBE-GGA | optimized geometry

Results
Total energy in eV per atom: -2.6419
Energy relative to the elements, uncorrected in meV/atom: 1041
E above lowest polymorph in eV per atom: 0.612

POSCAR file:
```
Cd2OsBr
1.0
-1.7635 -0.5904 -6.0894
-5.7069 -2.1249 1.8588
-6.0276 4.8530 -2.0536
Os Cd Br
2 4 2
direct
0.0000 0.0000 0.0000 Os
0.7500 0.2500 0.5000 Os
0.3750 0.3347 0.7500 Cd
0.6653 0.1250 0.2500 Cd
0.8750 0.9153 0.7500 Cd
0.0847 0.6250 0.2500 Cd
0.5000 0.5000 0.0000 Br
0.2500 0.7500 0.5000 Br
```



Cd2Os2Br | PBE-GGA | optimized geometry

Results
Total energy in eV per atom: -4.3620
Energy relative to the elements, uncorrected in meV/atom: 830
E above lowest polymorph in eV per atom: 0.000

POSCAR file:
```
Cd2Os2Br
1.0
-5.9133 -6.2232 -1.1476
5.8282 -4.7440 -4.3057
0.7864 -1.1842 2.3693
Br Os Cd
2 4 4
direct
0.0000 0.0000 0.0000 Br
0.5000 0.5000 0.0000 Br
0.0950 0.4050 0.0000 Os
0.5950 0.0950 0.0000 Os
0.9050 0.5950 0.0000 Os
0.4050 0.9050 0.0000 Os
0.1933 0.6933 0.5000 Cd
0.3067 0.1933 0.5000 Cd
0.8067 0.3067 0.5000 Cd
0.6933 0.8067 0.5000 Cd
```



Cd2OsBr | PBE-GGA | optimized geometry

Results
Total energy in eV per atom: -2.8135
Energy relative to the elements, uncorrected in meV/atom: 870
E above lowest polymorph in eV per atom: 0.441

POSCAR file:
```
Cd2OsBr
1.0
2.9821 0.0000 0.0000
0.0000 4.8754 0.0000
0.0000 0.0000 5.4327
Cd Os Br
2 1 1
direct
0.0000 0.0000 0.0000 Cd
0.5000 0.5000 0.0000 Cd
0.5000 0.0000 0.5000 Os
0.0000 0.5000 0.5000 Br
```



Cd2OsBr | PBE-GGA | optimized geometry

Results
Total energy in eV per atom: -3.2542
Energy relative to the elements, uncorrected in meV/atom: 429
E above lowest polymorph in eV per atom: 0.000

POSCAR file:
```
Cd2OsBr
1.0
-1.0174 -2.7952 -1.4413
2.2437 -1.5344 1.3920
-5.1315 -1.5216 6.5735
Cd Br Os
2 1 1
direct
0.0000 0.7509 0.4577 Cd
0.0000 0.7491 0.0423 Cd
0.5000 0.7500 0.7500 Br
0.5000 0.2500 0.2500 Os
```



Cd3OsBr | PBE-GGA | optimized geometry

Results
Total energy in eV per atom: -1.4659
Energy relative to the elements, uncorrected in meV/atom: 1664
E above lowest polymorph in eV per atom: 0.980

POSCAR file:
```
Cd3OsBr
1.0
5.2984 0.0000 0.0000
0.0000 5.2984 0.0000
0.0000 0.0000 5.2984
Cd Os Br
3 1 1
direct
0.0000 0.0000 0.5000 Cd
0.0000 0.5000 0.0000 Cd
0.5000 0.0000 0.0000 Cd
0.5000 0.5000 0.5000 Os
0.0000 0.0000 0.0000 Br
```



Cd3OsBr | PBE-GGA | optimized geometry

Results
Total energy in eV per atom: -2.4462
Energy relative to the elements, uncorrected in meV/atom: 683
E above lowest polymorph in eV per atom: 0.000

POSCAR file:
```
Cd3OsBr
1.0
5.3065 0.0000 0.0000
0.0000 5.3065 0.0000
0.0000 0.0000 5.3065
Cd Br Os
3 1 1
direct
0.5000 0.0000 0.0000 Cd
0.0000 0.5000 0.0000 Cd
0.0000 0.0000 0.5000 Cd
0.5000 0.5000 0.5000 Br
0.0000 0.0000 0.0000 Os
```



CdOsBr3 | PBE-GGA | optimized geometry

Results
Total energy in eV per atom: -3.0489
Energy relative to the elements, uncorrected in meV/atom: 384
E above lowest polymorph in eV per atom: 0.000

POSCAR file:
```
CdOsBr3
1.0
-0.0221 -4.6921 -2.0107
-0.6725 -1.9906 4.6524
-5.0603 0.2850 -0.6095
Os Br Cd
1 3 1
direct
0.0000 0.0000 0.0000 Os
0.0000 0.0000 0.5000 Br
0.0000 0.5000 0.0000 Br
0.5000 0.0000 0.0000 Br
0.5000 0.5000 0.5000 Cd
```



Cd2Os2Br | PBE-GGA | optimized geometry

Results
Total energy in eV per atom: -3.8607
Energy relative to the elements, uncorrected in meV/atom: 1332
E above lowest polymorph in eV per atom: 0.501

POSCAR file:
```
Cd2Os2Br
1.0
4.3224 0.0000 0.0000
0.0000 4.3224 0.0000
2.1612 2.1612 5.9171
Os Cd Br
2 2 1
direct
0.4011 0.4011 0.1978 Os
0.5989 0.5989 0.8022 Os
0.7500 0.2500 0.5000 Cd
0.2500 0.7500 0.5000 Cd
0.0000 0.0000 0.0000 Br
```



Cd2OsBr | PBE-GGA | optimized geometry

Results
Total energy in eV per atom: -3.0762
Energy relative to the elements, uncorrected in meV/atom: 607
E above lowest polymorph in eV per atom: 0.178

POSCAR file:
```
Cd2OsBr
1.0
-2.0677 -0.5421 2.2586
2.7822 -1.3797 -0.1613
4.2327 7.8615 5.7619
Cd Br Os
2 1 1
direct
0.5000 0.5000 0.2801 Cd
0.0000 0.0000 0.0183 Cd
0.5000 0.5000 0.6956 Br
0.0000 0.0000 0.5060 Os
```



Cd2OsBr | PBE-GGA | optimized geometry

Results
Total energy in eV per atom: -2.6774
Energy relative to the elements, uncorrected in meV/atom: 1006
E above lowest polymorph in eV per atom: 0.577

POSCAR file:
```
Cd2OsBr
1.0
3.5494 -3.4149 0.6653
-1.1777 -4.8282 0.0655
1.3575 -2.9405 -3.7701
Br Cd Os
1 2 1
direct
0.0000 0.0000 0.0000 Br
0.7500 0.7500 0.7500 Cd
0.2500 0.2500 0.2500 Cd
0.5000 0.5000 0.5000 Os
```



Cd2OsBr | PBE-GGA | optimized geometry

Results
Total energy in eV per atom: -2.7664
Energy relative to the elements, uncorrected in meV/atom: 917
E above lowest polymorph in eV per atom: 0.488

POSCAR file:
```
Cd2OsBr
1.0
-3.9762 2.5950 -2.7692
-4.2585 1.6613 3.0527
5.4676 0.4523 0.3376
Os Cd Br
1 2 1
direct
0.5000 0.5000 0.0000 Os
0.0000 0.0000 0.0000 Cd
0.2500 0.7500 0.5000 Cd
0.7500 0.2500 0.5000 Br
```



Cd2OsBr | PBE-GGA | optimized geometry

Results
Total energy in eV per atom: -2.6719
Energy relative to the elements, uncorrected in meV/atom: 1011
E above lowest polymorph in eV per atom: 0.582

POSCAR file:
```
Cd2OsBr
1.0
-2.4381 3.1420 2.7331
0.1007 -0.3986 4.8081
2.3852 3.2586 2.6418
Cd Os Br
2 1 1
direct
0.0000 0.0000 0.0000 Cd
0.2500 0.2500 0.2500 Cd
0.7500 0.7500 0.7500 Os
0.5000 0.5000 0.5000 Br
```



CdOsBr4 | PBE-GGA | optimized geometry

Results
Total energy in eV per atom: -1.6741
Energy relative to the elements, uncorrected in meV/atom: 1465

POSCAR file:
```
CdOsBr4
1.0
5.2425 1.9267 2.8022
0.1276 5.5140 2.9373
0.3127 0.2109 6.2375
Br Cd Os
4 1 1
direct
0.8752 0.3749 0.3749 Br
0.3749 0.3749 0.3749 Br
0.3749 0.8752 0.3749 Br
0.3749 0.3749 0.8752 Br
0.7500 0.7500 0.7500 Cd
0.0000 0.0000 0.0000 Os
```



Cd2OsBr | PBE-GGA | optimized geometry

Results
Total energy in eV per atom: -3.2382
Energy relative to the elements, uncorrected in meV/atom: 445
E above lowest polymorph in eV per atom: 0.016

POSCAR file:
```
Cd2OsBr
1.0
7.1675 0.0175 -0.0272
6.5250 2.9661 -0.0272
1.5887 0.3462 4.4546
Cd Br Os
2 1 1
direct
0.1678 0.1678 0.3317 Cd
0.0115 0.0115 0.9886 Cd
0.8320 0.8320 0.6682 Br
0.4887 0.4887 0.5114 Os
```



TiCdOs2Br | PBE-GGA | optimized geometry

Results
Total energy in eV per atom: -4.0934
Energy relative to the elements, uncorrected in meV/atom: 2495
E above lowest polymorph in eV per atom: 0.139

POSCAR file:
```
TiCdOs2Br
1.0
-1.3810 -4.3847 -1.9803
4.8111 -1.2485 -0.5908
0.0240 -2.0976 4.6278
Cd Ti Os Br
1 1 2 1
direct
0.0000 0.0000 0.0000 Cd
0.5000 0.5000 0.5000 Ti
0.0000 0.5000 0.0000 Os
0.5000 0.0000 0.0000 Os
0.0000 0.0000 0.5000 Br
```



TiCdOs2Br | PBE-GGA | optimized geometry

Results
Total energy in eV per atom: -4.2322
Energy relative to the elements, uncorrected in meV/atom: 2356
E above lowest polymorph in eV per atom: 0.000

POSCAR file:
```
TiCdOs2Br
1.0
4.9701 0.0000 0.0000
0.0000 4.9701 0.0000
0.0000 0.0000 5.1802
Br Cd Os Ti
1 1 2 1
direct
0.5000 0.5000 0.5000 Br
0.0000 0.0000 0.0000 Cd
0.0000 0.5000 0.0000 Os
0.5000 0.0000 0.0000 Os
0.0000 0.0000 0.5000 Ti
```



CdP2Br | PBE-GGA | optimized geometry

Results
Total energy in eV per atom: -2.6310
Energy relative to the elements, uncorrected in meV/atom: 721
E above lowest polymorph in eV per atom: 0.819

POSCAR file:
```
CdP2Br
1.0
5.4819 0.0000 0.0000
0.0000 5.4819 0.0000
2.7410 2.7410 7.1337
Cd Br P
2 2 4
direct
0.7500 0.2500 0.5000 Cd
0.0000 0.0000 0.0000 Cd
0.5000 0.5000 0.0000 Br
0.2500 0.7500 0.5000 Br
0.1169 0.6250 0.2500 P
0.6331 0.1250 0.2500 P
0.8750 0.8831 0.7500 P
0.3750 0.3669 0.7500 P
```



Cd2PBr | PBE-GGA | optimized geometry

Results
Total energy in eV per atom: -2.4761
Energy relative to the elements, uncorrected in meV/atom: -248
E above lowest polymorph in eV per atom: 0.130

POSCAR file:
```
Cd2PBr
1.0
7.1472 -0.0052 -0.0032
5.9865 3.9044 -0.0032
5.9865 1.7773 3.4764
Cd Br P
2 1 1
direct
0.9808 0.9808 0.9808 Cd
0.5192 0.5192 0.5192 Cd
0.7500 0.7500 0.7500 Br
0.2500 0.2500 0.2500 P
```



CdP2Br | PBE-GGA | optimized geometry

Results
Total energy in eV per atom: -3.3079
Energy relative to the elements, uncorrected in meV/atom: 44
E above lowest polymorph in eV per atom: 0.142

POSCAR file:
```
CdP2Br
1.0
5.4535 0.0000 0.0000
0.0000 3.3964 0.0592
0.0000 1.0389 5.1563
Br Cd P
1 1 2
direct
0.5000 0.2500 0.2500 Br
0.5000 0.7500 0.7500 Cd
0.0000 0.9575 0.8898 P
0.0000 0.5425 0.6102 P
```